## i
# Cs2Rb4Zn2O5 (PBE, optimized geometry)
data_Cs2Rb4Zn2O5
_symmetry_space_group_name_H-M 'P 1'
_symmetry_Int_Tables_number 1
_symmetry_space_group_name_Hall 'P 1'
_cell_length_a 7.0400
_cell_length_b 7.0400
_cell_length_c 6.9759
_cell_angle_alpha 91.64
_cell_angle_beta 91.64
_cell_angle_gamma 118.89
loop_
_atom_site_label
_atom_site_type_symbol
_atom_site_fract_x
_atom_site_fract_y
_atom_site_fract_z
Cs1 Cs 0.2410 0.7590 0.0000
Cs2 Cs 0.7590 0.2410 0.0000
Rb1 Rb 0.2145 0.7866 0.5039
Rb2 Rb 0.3465 0.3465 0.6804
Rb3 Rb 0.6399 0.6399 0.3319
Rb4 Rb 0.7866 0.2145 0.5039
Zn1 Zn 0.2045 0.2045 0.1817
Zn2 Zn 0.8084 0.8084 0.8005
O1 O 0.0484 0.0484 0.9447
O2 O 0.1664 0.4329 0.2924
O3 O 0.4329 0.1664 0.2924
O4 O 0.5618 0.8297 0.7144
O5 O 0.8297 0.5618 0.7144
# V	23.25	Å³/atom
# symmetry	No. 8

## ii
# Cs2Rb4Zn2O5 (PBE, optimized geometry)
data_Cs2Rb4Zn2O5
_symmetry_space_group_name_H-M 'P 1'
_symmetry_Int_Tables_number 1
_symmetry_space_group_name_Hall 'P 1'
_cell_length_a 6.9910
_cell_length_b 6.9910
_cell_length_c 6.9482
_cell_angle_alpha 90.77
_cell_angle_beta 90.77
_cell_angle_gamma 118.88
loop_
_atom_site_label
_atom_site_type_symbol
_atom_site_fract_x
_atom_site_fract_y
_atom_site_fract_z
Cs1 Cs 0.0000 0.0000 0.0000
Cs2 Cs 0.6779 0.6779 0.4000
Rb1 Rb 0.1058 0.5702 0.7081
Rb2 Rb 0.1200 0.5578 0.2106
Rb3 Rb 0.5578 0.1200 0.2106
Rb4 Rb 0.5702 0.1058 0.7081
Zn1 Zn 0.1380 0.1380 0.5117
Zn2 Zn 0.5433 0.5433 0.8957
O1 O 0.1775 0.8987 0.4376
O2 O 0.3565 0.3565 0.6866
O3 O 0.5010 0.7773 0.9840
O4 O 0.7773 0.5010 0.9840
O5 O 0.8987 0.1775 0.4376
# V	22.87	Å³/atom
# symmetry	No. 8

Relative energy of each structure, in eV/atom: i 0.022; ii 0.000.

## i
# Cs4Rb2Zn2O5 (PBE, optimized geometry)
data_Cs4Rb2Zn2O5
_symmetry_space_group_name_H-M 'P 1'
_symmetry_Int_Tables_number 1
_symmetry_space_group_name_Hall 'P 1'
_cell_length_a 7.1168
_cell_length_b 7.1168
_cell_length_c 7.0724
_cell_angle_alpha 91.11
_cell_angle_beta 91.11
_cell_angle_gamma 119.27
loop_
_atom_site_label
_atom_site_type_symbol
_atom_site_fract_x
_atom_site_fract_y
_atom_site_fract_z
Cs1 Cs 0.0000 0.0000 0.0000
Cs2 Cs 0.3270 0.3270 0.6230
Cs3 Cs 0.4267 0.9028 0.3106
Cs4 Cs 0.9028 0.4267 0.3106
Rb1 Rb 0.4436 0.8854 0.8121
Rb2 Rb 0.8854 0.4436 0.8121
Zn1 Zn 0.4690 0.4690 0.1137
Zn2 Zn 0.8647 0.8647 0.5041
O1 O 0.0928 0.8239 0.5997
O2 O 0.2355 0.5049 0.0252
O3 O 0.5049 0.2355 0.0252
O4 O 0.6818 0.6818 0.2931
O5 O 0.8239 0.0928 0.5997
# V	24.02	Å³/atom
# symmetry	No. 8

## ii
# Cs4Rb2Zn2O5 (PBE, optimized geometry)
data_Cs4Rb2Zn2O5
_symmetry_space_group_name_H-M 'P 1'
_symmetry_Int_Tables_number 1
_symmetry_space_group_name_Hall 'P 1'
_cell_length_a 7.1287
_cell_length_b 7.1287
_cell_length_c 7.1705
_cell_angle_alpha 93.13
_cell_angle_beta 93.13
_cell_angle_gamma 118.20
loop_
_atom_site_label
_atom_site_type_symbol
_atom_site_fract_x
_atom_site_fract_y
_atom_site_fract_z
Cs1 Cs 0.2056 0.7944 0.0000
Cs2 Cs 0.2410 0.7581 0.4965
Cs3 Cs 0.7581 0.2410 0.4965
Cs4 Cs 0.7944 0.2056 0.0000
Rb1 Rb 0.3530 0.3530 0.1857
Rb2 Rb 0.6216 0.6216 0.8448
Zn1 Zn 0.2074 0.2074 0.6634
Zn2 Zn 0.8077 0.8077 0.3047
O1 O 0.0583 0.0583 0.4222
O2 O 0.1699 0.4338 0.7780
O3 O 0.4338 0.1699 0.7780
O4 O 0.5543 0.8189 0.2239
O5 O 0.8189 0.5543 0.2239
# V	24.56	Å³/atom
# symmetry	No. 8

Relative energy of each structure, in eV/atom: i 0.000; ii 0.019.

## i
# CsTmSO (PBE, optimized geometry)
data_CsTmSO
_symmetry_space_group_name_H-M 'P 1'
_symmetry_Int_Tables_number 1
_symmetry_space_group_name_Hall 'P 1'
_cell_length_a 8.0552
_cell_length_b 9.0737
_cell_length_c 6.7961
_cell_angle_alpha 90.00
_cell_angle_beta 90.00
_cell_angle_gamma 90.00
loop_
_atom_site_label
_atom_site_type_symbol
_atom_site_fract_x
_atom_site_fract_y
_atom_site_fract_z
Cs1 Cs 0.1189 0.1064 0.0000
Cs2 Cs 0.3811 0.1064 0.5000
Cs3 Cs 0.6189 0.8936 0.0000
Cs4 Cs 0.8811 0.8936 0.5000
Tm1 Tm 0.0745 0.6267 0.0342
Tm2 Tm 0.4255 0.6267 0.5342
Tm3 Tm 0.5745 0.3733 0.0342
Tm4 Tm 0.9255 0.3733 0.5342
S1 S 0.1138 0.5959 0.6507
S2 S 0.3862 0.5959 0.1507
S3 S 0.6138 0.4041 0.6507
S4 S 0.8862 0.4041 0.1507
O1 O 0.0231 0.1810 0.5871
O2 O 0.4769 0.1810 0.0871
O3 O 0.5231 0.8190 0.5871
O4 O 0.9769 0.8190 0.0871
# V	31.05	Å³/atom
# symmetry	No. 29

## ii
# CsTmSO (PBE, optimized geometry)
data_CsTmSO
_symmetry_space_group_name_H-M 'P 1'
_symmetry_Int_Tables_number 1
_symmetry_space_group_name_Hall 'P 1'
_cell_length_a 4.3129
_cell_length_b 8.5807
_cell_length_c 6.7888
_cell_angle_alpha 90.00
_cell_angle_beta 90.00
_cell_angle_gamma 90.00
loop_
_atom_site_label
_atom_site_type_symbol
_atom_site_fract_x
_atom_site_fract_y
_atom_site_fract_z
Cs1 Cs 0.0000 0.1888 0.0000
Cs2 Cs 0.0000 0.8112 0.5000
Tm1 Tm 0.5000 0.3830 0.4453
Tm2 Tm 0.5000 0.6170 0.9453
S1 S 0.0000 0.2167 0.5050
S2 S 0.0000 0.7833 0.0050
O1 O 0.5000 0.4335 0.1445
O2 O 0.5000 0.5665 0.6445
# V	31.40	Å³/atom
# symmetry	No. 26

## iii
# CsTmSO (PBE, optimized geometry)
data_CsTmSO
_symmetry_space_group_name_H-M 'P 1'
_symmetry_Int_Tables_number 1
_symmetry_space_group_name_Hall 'P 1'
_cell_length_a 3.7142
_cell_length_b 3.7142
_cell_length_c 14.9922
_cell_angle_alpha 90.00
_cell_angle_beta 90.00
_cell_angle_gamma 120.00
loop_
_atom_site_label
_atom_site_type_symbol
_atom_site_fract_x
_atom_site_fract_y
_atom_site_fract_z
Cs1 Cs 0.3333 0.6667 0.0000
Cs2 Cs 0.6667 0.3333 0.5000
Tm1 Tm 0.0000 0.0000 0.2732
Tm2 Tm 0.0000 0.0000 0.7732
S1 S 0.3333 0.6667 0.6648
S2 S 0.6667 0.3333 0.1648
O1 O 0.3333 0.6667 0.3360
O2 O 0.6667 0.3333 0.8360
# V	22.39	Å³/atom
# symmetry	No. 186

Relative energy of each structure, in eV/atom: i 0.214; ii 0.000; iii 0.060.

## i
# CsTmSO (PBE, optimized geometry)
data_CsTmSO
_symmetry_space_group_name_H-M 'P 1'
_symmetry_Int_Tables_number 1
_symmetry_space_group_name_Hall 'P 1'
_cell_length_a 8.1806
_cell_length_b 7.2217
_cell_length_c 6.6260
_cell_angle_alpha 90.00
_cell_angle_beta 104.03
_cell_angle_gamma 90.00
loop_
_atom_site_label
_atom_site_type_symbol
_atom_site_fract_x
_atom_site_fract_y
_atom_site_fract_z
Cs1 Cs 0.0797 0.2420 0.0027
Cs2 Cs 0.0797 0.2580 0.5027
Cs3 Cs 0.9203 0.7420 0.4973
Cs4 Cs 0.9203 0.7580 0.9973
Tm1 Tm 0.4830 0.6273 0.2787
Tm2 Tm 0.4830 0.8727 0.7787
Tm3 Tm 0.5170 0.1273 0.2213
Tm4 Tm 0.5170 0.3727 0.7213
S1 S 0.2788 0.5985 0.8595
S2 S 0.2788 0.9015 0.3595
S3 S 0.7212 0.0985 0.6405
S4 S 0.7212 0.4015 0.1405
O1 O 0.4031 0.1433 0.8786
O2 O 0.4031 0.3567 0.3786
O3 O 0.5969 0.6433 0.6214
O4 O 0.5969 0.8567 0.1214
# V	23.74	Å³/atom
# symmetry	No. 14

## ii
# CsTmSO (PBE, optimized geometry)
data_CsTmSO
_symmetry_space_group_name_H-M 'P 1'
_symmetry_Int_Tables_number 1
_symmetry_space_group_name_Hall 'P 1'
_cell_length_a 3.7216
_cell_length_b 3.7216
_cell_length_c 14.9382
_cell_angle_alpha 90.00
_cell_angle_beta 90.00
_cell_angle_gamma 120.00
loop_
_atom_site_label
_atom_site_type_symbol
_atom_site_fract_x
_atom_site_fract_y
_atom_site_fract_z
Cs1 Cs 0.3333 0.6667 0.2224
Cs2 Cs 0.6667 0.3333 0.7776
Tm1 Tm 0.0000 0.0000 0.0000
Tm2 Tm 0.0000 0.0000 0.5000
S1 S 0.3333 0.6667 0.6043
S2 S 0.6667 0.3333 0.3957
O1 O 0.3333 0.6667 0.9305
O2 O 0.6667 0.3333 0.0695
# V	22.40	Å³/atom
# symmetry	No. 164

## iii
# CsTmSO (PBE, optimized geometry)
data_CsTmSO
_symmetry_space_group_name_H-M 'P 1'
_symmetry_Int_Tables_number 1
_symmetry_space_group_name_Hall 'P 1'
_cell_length_a 4.6080
_cell_length_b 4.6080
_cell_length_c 10.5523
_cell_angle_alpha 90.00
_cell_angle_beta 90.00
_cell_angle_gamma 90.00
loop_
_atom_site_label
_atom_site_type_symbol
_atom_site_fract_x
_atom_site_fract_y
_atom_site_fract_z
Cs1 Cs 0.2500 0.7500 0.0000
Cs2 Cs 0.7500 0.2500 0.0000
Tm1 Tm 0.2500 0.2500 0.4461
Tm2 Tm 0.7500 0.7500 0.5539
S1 S 0.2500 0.2500 0.2131
S2 S 0.7500 0.7500 0.7869
O1 O 0.2500 0.7500 0.5000
O2 O 0.7500 0.2500 0.5000
# V	28.01	Å³/atom
# symmetry	No. 129

Relative energy of each structure, in eV/atom: i 0.000; ii 0.104; iii 0.337.

## i
# CsSmSeO (PBE, optimized geometry)
data_CsSmSeO
_symmetry_space_group_name_H-M 'P 1'
_symmetry_Int_Tables_number 1
_symmetry_space_group_name_Hall 'P 1'
_cell_length_a 8.4992
_cell_length_b 7.6386
_cell_length_c 6.8834
_cell_angle_alpha 90.00
_cell_angle_beta 100.50
_cell_angle_gamma 90.00
loop_
_atom_site_label
_atom_site_type_symbol
_atom_site_fract_x
_atom_site_fract_y
_atom_site_fract_z
Cs1 Cs 0.0889 0.2160 0.4809
Cs2 Cs 0.0889 0.2840 0.9809
Cs3 Cs 0.9111 0.7160 0.0191
Cs4 Cs 0.9111 0.7840 0.5191
Sm1 Sm 0.4780 0.6292 0.7808
Sm2 Sm 0.4780 0.8708 0.2808
Sm3 Sm 0.5220 0.1292 0.7192
Sm4 Sm 0.5220 0.3708 0.2192
Se1 Se 0.2614 0.5924 0.3710
Se2 Se 0.2614 0.9076 0.8710
Se3 Se 0.7386 0.0924 0.1290
Se4 Se 0.7386 0.4076 0.6290
O1 O 0.4146 0.1469 0.3874
O2 O 0.4146 0.3531 0.8874
O3 O 0.5854 0.6469 0.1126
O4 O 0.5854 0.8531 0.6126
# V	27.46	Å³/atom
# symmetry	No. 14

## ii
# CsSmSeO (PBE, optimized geometry)
data_CsSmSeO
_symmetry_space_group_name_H-M 'P 1'
_symmetry_Int_Tables_number 1
_symmetry_space_group_name_Hall 'P 1'
_cell_length_a 4.6850
_cell_length_b 8.8242
_cell_length_c 7.0468
_cell_angle_alpha 90.00
_cell_angle_beta 90.00
_cell_angle_gamma 90.00
loop_
_atom_site_label
_atom_site_type_symbol
_atom_site_fract_x
_atom_site_fract_y
_atom_site_fract_z
Cs1 Cs 0.0000 0.1963 0.0000
Cs2 Cs 0.0000 0.8037 0.5000
Sm1 Sm 0.5000 0.3836 0.4336
Sm2 Sm 0.5000 0.6164 0.9336
Se1 Se 0.0000 0.2107 0.5062
Se2 Se 0.0000 0.7893 0.0062
O1 O 0.5000 0.4265 0.1286
O2 O 0.5000 0.5735 0.6286
# V	36.42	Å³/atom
# symmetry	No. 26

Relative energy of each structure, in eV/atom: i 0.000; ii 0.063.